! Pd3Au4, optimized geometry, DFT PBE; values from VASP
! Volume, Å³/cell: 1016.2
! DFT total energy, eV/atom: -4.06
! SG: Ia-3d (230)
! E_form, meV per atom: 25.0
&SYSTEM
  ibrav = 0, nat = 56, ntyp = 2
/
ATOMIC_SPECIES
Pd 106.42 Pd.upf
Au 196.97 Au.upf
CELL_PARAMETERS angstrom
-6.3333 6.3333 6.3333
6.3333 -6.3333 6.3333
6.3333 6.3333 -6.3333
ATOMIC_POSITIONS angstrom
Pd 4.8423 4.7500 -4.6577
Pd 4.6577 -1.4910 1.5833
Pd 4.7500 -4.6577 4.8423
Pd 4.8423 -1.5833 4.6577
Pd 10.9911 1.4910 1.5833
Pd 1.5833 4.6577 -1.4910
Pd 7.9167 1.6756 1.4910
Pd 4.6577 4.8423 -1.5833
Pd 4.8423 1.5833 1.6756
Pd 4.7500 4.6577 1.4910
Pd -1.4910 1.5833 4.6577
Pd 4.6577 1.4910 4.7500
Pd 1.6756 4.8423 1.5833
Pd 7.8244 4.7500 1.6756
Pd 1.5833 1.6756 4.8423
Pd 1.4910 4.7500 4.6577
Pd 1.6756 1.4910 7.9167
Pd -1.5833 4.6577 4.8423
Pd 4.7500 1.6756 7.8244
Pd -4.6577 4.8423 4.7500
Pd 1.4910 7.9167 1.6756
Pd 1.5833 10.9911 1.4910
Pd 1.6756 7.8244 4.7500
Pd 1.4910 1.5833 10.9911
Au 0.0000 0.0000 0.0000
Au 3.1667 3.1667 -3.1667
Au 3.1667 -3.1667 3.1667
Au 6.3333 0.0000 0.0000
Au 3.1667 0.1762 0.0000
Au 6.3333 3.1667 -2.9905
Au 3.1667 2.9905 0.0000
Au 6.3333 3.1667 -0.1762
Au 0.1762 0.0000 3.1667
Au 2.9905 0.0000 3.1667
Au 6.5095 0.0000 3.1667
Au 9.3239 0.0000 3.1667
Au 0.0000 3.1667 0.1762
Au 3.1667 -2.9905 6.3333
Au 0.0000 3.1667 2.9905
Au 3.1667 -0.1762 6.3333
Au -3.1667 3.1667 3.1667
Au 0.0000 6.3333 0.0000
Au 0.0000 0.0000 6.3333
Au 3.1667 3.1667 3.1667
Au 3.1667 6.5095 0.0000
Au 6.3333 3.1667 3.3428
Au 3.1667 9.3239 0.0000
Au 6.3333 3.1667 6.1572
Au -2.9905 6.3333 3.1667
Au -0.1762 6.3333 3.1667
Au 3.3428 6.3333 3.1667
Au 6.1572 6.3333 3.1667
Au 0.0000 3.1667 6.5095
Au 3.1667 3.3428 6.3333
Au 0.0000 3.1667 9.3239
Au 3.1667 6.1572 6.3333

***

! PdAu2, optimized geometry, DFT PBE; values from VASP
! Volume, Å³/cell: 111.6
! DFT total energy, eV/atom: -3.73
! SG: Fd-3m (227)
! E_form, meV per atom: 177.8
&SYSTEM
  ibrav = 0, nat = 6, ntyp = 2
/
ATOMIC_SPECIES
Pd 106.42 Pd.upf
Au 196.97 Au.upf
CELL_PARAMETERS angstrom
0.0000 3.8217 3.8217
3.8217 0.0000 3.8217
3.8217 3.8217 0.0000
ATOMIC_POSITIONS angstrom
Pd 0.9554 0.9554 0.9554
Pd 6.6879 6.6879 6.6879
Au 3.8217 1.9108 1.9108
Au 1.9108 3.8217 1.9108
Au 1.9108 1.9108 3.8217
Au 3.8217 3.8217 3.8217

***

! PdAu3, optimized geometry, DFT PBE; values from VASP
! Volume, Å³/cell: 138.9
! DFT total energy, eV/atom: -3.82
! SG: Pmmn (59)
! E_form, meV per atom: -73.4
&SYSTEM
  ibrav = 0, nat = 8, ntyp = 2
/
ATOMIC_SPECIES
Pd 106.42 Pd.upf
Au 196.97 Au.upf
CELL_PARAMETERS angstrom
4.8187 0.0000 0.0000
0.0000 5.8048 0.0000
0.0000 0.0000 4.9650
ATOMIC_POSITIONS angstrom
Pd 1.2047 1.4512 0.8420
Pd 3.6140 4.3536 4.1229
Au 1.2047 5.8032 3.3255
Au 1.2047 2.9040 3.3255
Au 1.2047 4.3536 0.8207
Au 3.6140 0.0016 1.6395
Au 3.6140 1.4512 4.1443
Au 3.6140 2.9008 1.6395

***

! Pd5Au3, optimized geometry, DFT PBE; values from VASP
! Volume, Å³/cell: 270.6
! DFT total energy, eV/atom: -4.40
! SG: I4/mcm (140)
! E_form, meV per atom: 60.8
&SYSTEM
  ibrav = 0, nat = 16, ntyp = 2
/
ATOMIC_SPECIES
Pd 106.42 Pd.upf
Au 196.97 Au.upf
CELL_PARAMETERS angstrom
-5.1293 5.1293 2.5715
5.1293 -5.1293 2.5715
5.1293 5.1293 -2.5715
ATOMIC_POSITIONS angstrom
Pd 7.8154 0.7225 0.0000
Pd 0.7225 2.4431 0.0000
Pd 5.1293 0.0000 1.2857
Pd 5.8518 2.6862 0.0000
Pd 2.6862 4.4067 0.0000
Pd 2.4431 0.7225 2.5715
Pd -0.7225 2.4431 2.5715
Pd 0.0000 5.1293 1.2857
Pd 4.4067 2.6862 2.5715
Pd -2.6862 4.4067 2.5715
Au 3.3345 1.7948 0.0000
Au 0.0000 0.0000 1.2857
Au 3.3345 -1.7948 2.5715
Au 1.7948 6.9240 0.0000
Au 0.0000 0.0000 3.8572
Au 1.7948 3.3345 2.5715

***

! Pd3Au, optimized geometry, DFT PBE; values from VASP
! Volume, Å³/cell: 127.8
! DFT total energy, eV/atom: -4.73
! SG: Pmmn (59)
! E_form, meV per atom: -27.3
&SYSTEM
  ibrav = 0, nat = 8, ntyp = 2
/
ATOMIC_SPECIES
Pd 106.42 Pd.upf
Au 196.97 Au.upf
CELL_PARAMETERS angstrom
4.6856 0.0000 0.0000
0.0000 5.6103 0.0000
0.0000 0.0000 4.8619
ATOMIC_POSITIONS angstrom
Pd 1.1714 0.0033 0.8032
Pd 1.1714 1.4026 3.2546
Pd 1.1714 2.8018 0.8032
Pd 3.5142 2.8085 4.0588
Pd 3.5142 4.2077 1.6073
Pd 3.5142 5.6070 4.0588
Au 1.1714 4.2077 3.2373
Au 3.5142 1.4026 1.6246

***

! PdAu2, optimized geometry, DFT PBE; values from VASP
! Volume, Å³/cell: 102.6
! DFT total energy, eV/atom: -3.99
! SG: C2/m (12)
! E_form, meV per atom: -86.0
&SYSTEM
  ibrav = 0, nat = 6, ntyp = 2
/
ATOMIC_SPECIES
Pd 106.42 Pd.upf
Au 196.97 Au.upf
CELL_PARAMETERS angstrom
4.5024 -2.0652 0.0000
4.5024 2.0652 0.0000
-1.6516 0.0000 5.5152
ATOMIC_POSITIONS angstrom
Pd 0.9538 0.0000 1.8352
Pd 6.3994 0.0000 3.6799
Au 0.1359 0.0000 4.5688
Au 4.5024 0.0000 0.0000
Au 3.6766 0.0000 2.7576
Au 7.2173 0.0000 0.9464

***

! PdAu3, optimized geometry, DFT PBE; values from VASP
! Volume, Å³/cell: 69.3
! DFT total energy, eV/atom: -3.82
! SG: P4/mmm (123)
! E_form, meV per atom: -78.2
&SYSTEM
  ibrav = 0, nat = 4, ntyp = 2
/
ATOMIC_SPECIES
Pd 106.42 Pd.upf
Au 196.97 Au.upf
CELL_PARAMETERS angstrom
4.1142 0.0000 0.0000
0.0000 4.1142 0.0000
0.0000 0.0000 4.0935
ATOMIC_POSITIONS angstrom
Pd 0.0000 0.0000 0.0000
Au 0.0000 2.0571 2.0467
Au 2.0571 0.0000 2.0467
Au 2.0571 2.0571 0.0000

***

! PmPd2Au4, optimized geometry, DFT PBE; values from VASP
! Volume, Å³/cell: 134.5
! DFT total energy, eV/atom: -4.52
! SG: C2/m (12)
! E_form, meV per atom: -492.5
&SYSTEM
  ibrav = 0, nat = 7, ntyp = 3
/
ATOMIC_SPECIES
Pm 145.00 Pm.upf
Pd 106.42 Pd.upf
Au 196.97 Au.upf
CELL_PARAMETERS angstrom
4.4379 -3.5189 0.0000
4.4379 3.5189 0.0000
-3.2994 0.0000 4.3053
ATOMIC_POSITIONS angstrom
Pm 0.0000 0.0000 0.0000
Pd 3.6100 0.0000 1.0737
Pd 1.9665 0.0000 3.2316
Au 3.8941 -2.1227 3.0059
Au 1.6824 2.1227 1.2994
Au 3.8941 2.1227 3.0059
Au 1.6824 -2.1227 1.2994

***

Q: What is the formula in the eighth record?
A: PmPd2Au4

***

Q: Look up the volume of the eighth one.
A: 134.5 Å³/cell